# Sc3OsN

Sc3OsN after structural relaxation (GGA-PBEsol, Alexandria via LeMat-Bulk).

Structure (CIF):
```
data_Sc3OsN
_chemical_formula_sum 'Sc3 Os1 N1'
_cell_length_a 4.288
_cell_length_b 4.288
_cell_length_c 4.288
_cell_angle_alpha 90.00
_cell_angle_beta 90.00
_cell_angle_gamma 90.00
_symmetry_space_group_name_H-M 'P m -3 m'
_symmetry_Int_Tables_number 221
_symmetry_space_group_name_Hall '-P 4 2 3'
loop_
_atom_site_label
_atom_site_type_symbol
_atom_site_fract_x
_atom_site_fract_y
_atom_site_fract_z
_atom_site_occupancy
Sc1 Sc 0.000 0.000 0.500 1
Os1 Os 0.500 0.500 0.500 1
N1 N 0.000 0.000 0.000 1
```

# ScOs2N2

ScOs2N2 after structural relaxation (GGA-PBEsol, Alexandria via LeMat-Bulk).

Structure (CIF):
```
data_ScOs2N2
_chemical_formula_sum 'Sc2 Os4 N4'
_cell_length_a 3.754
_cell_length_b 3.754
_cell_length_c 9.219
_cell_angle_alpha 90.00
_cell_angle_beta 90.00
_cell_angle_gamma 90.00
_symmetry_space_group_name_H-M 'I 4/m m m'
_symmetry_Int_Tables_number 139
_symmetry_space_group_name_Hall '-I 4 2'
loop_
_atom_site_label
_atom_site_type_symbol
_atom_site_fract_x
_atom_site_fract_y
_atom_site_fract_z
_atom_site_occupancy
Sc1 Sc 0.000 0.000 0.000 1
Os1 Os 0.000 0.500 0.250 1
N1 N 0.000 0.000 0.352 1
```

# SiOsSeN2

SiOsSeN2 after structural relaxation (GGA-PBEsol, Alexandria via LeMat-Bulk).

Structure (CIF):
```
data_SiOsSeN2
_chemical_formula_sum 'Si1 Os1 Se1 N2'
_cell_length_a 3.420
_cell_length_b 3.420
_cell_length_c 6.636
_cell_angle_alpha 90.00
_cell_angle_beta 90.00
_cell_angle_gamma 90.00
_symmetry_space_group_name_H-M 'P 4/m m m'
_symmetry_Int_Tables_number 123
_symmetry_space_group_name_Hall '-P 4 2'
loop_
_atom_site_label
_atom_site_type_symbol
_atom_site_fract_x
_atom_site_fract_y
_atom_site_fract_z
_atom_site_occupancy
Si1 Si 0.000 0.000 0.000 1
Os1 Os 0.500 0.500 0.500 1
Se1 Se 0.000 0.000 0.500 1
N1 N 0.000 0.500 0.000 1
```

# SiOsSe2N

SiOsSe2N after structural relaxation (GGA-PBEsol, Alexandria via LeMat-Bulk).

Structure (CIF):
```
data_SiOsSe2N
_chemical_formula_sum 'Si1 Os1 Se2 N1'
_cell_length_a 4.867
_cell_length_b 4.867
_cell_length_c 3.186
_cell_angle_alpha 90.00
_cell_angle_beta 90.00
_cell_angle_gamma 90.00
_symmetry_space_group_name_H-M 'P 4/m m m'
_symmetry_Int_Tables_number 123
_symmetry_space_group_name_Hall '-P 4 2'
loop_
_atom_site_label
_atom_site_type_symbol
_atom_site_fract_x
_atom_site_fract_y
_atom_site_fract_z
_atom_site_occupancy
Si1 Si 0.000 0.000 0.000 1
Os1 Os 0.500 0.500 0.500 1
Se1 Se 0.000 0.500 0.000 1
N1 N 0.000 0.000 0.500 1
```

# TiOsSeN2

TiOsSeN2 after structural relaxation (GGA-PBEsol, Alexandria via LeMat-Bulk).

Structure (CIF):
```
data_TiOsSeN2
_chemical_formula_sum 'Ti1 Os1 Se1 N2'
_cell_length_a 3.790
_cell_length_b 3.790
_cell_length_c 5.161
_cell_angle_alpha 90.00
_cell_angle_beta 90.00
_cell_angle_gamma 90.00
_symmetry_space_group_name_H-M 'P 4/m m m'
_symmetry_Int_Tables_number 123
_symmetry_space_group_name_Hall '-P 4 2'
loop_
_atom_site_label
_atom_site_type_symbol
_atom_site_fract_x
_atom_site_fract_y
_atom_site_fract_z
_atom_site_occupancy
Ti1 Ti 0.000 0.000 0.000 1
Os1 Os 0.500 0.500 0.500 1
Se1 Se 0.000 0.000 0.500 1
N1 N 0.000 0.500 0.000 1
```

# TlOsSeN2

TlOsSeN2 after structural relaxation (GGA-PBEsol, Alexandria via LeMat-Bulk).

Structure (CIF):
```
data_TlOsSeN2
_chemical_formula_sum 'Tl1 Os1 Se1 N2'
_cell_length_a 3.864
_cell_length_b 3.864
_cell_length_c 5.395
_cell_angle_alpha 90.00
_cell_angle_beta 90.00
_cell_angle_gamma 90.00
_symmetry_space_group_name_H-M 'P 4/m m m'
_symmetry_Int_Tables_number 123
_symmetry_space_group_name_Hall '-P 4 2'
loop_
_atom_site_label
_atom_site_type_symbol
_atom_site_fract_x
_atom_site_fract_y
_atom_site_fract_z
_atom_site_occupancy
Tl1 Tl 0.000 0.000 0.000 1
Os1 Os 0.500 0.500 0.500 1
Se1 Se 0.500 0.500 0.000 1
N1 N 0.000 0.500 0.500 1
```

# SiTcOs2N

SiTcOs2N after structural relaxation (GGA-PBEsol, Alexandria via LeMat-Bulk).

Structure (CIF):
```
data_SiTcOs2N
_chemical_formula_sum 'Si1 Tc1 Os2 N1'
_cell_length_a 3.972
_cell_length_b 3.972
_cell_length_c 3.989
_cell_angle_alpha 90.00
_cell_angle_beta 90.00
_cell_angle_gamma 90.00
_symmetry_space_group_name_H-M 'P 4/m m m'
_symmetry_Int_Tables_number 123
_symmetry_space_group_name_Hall '-P 4 2'
loop_
_atom_site_label
_atom_site_type_symbol
_atom_site_fract_x
_atom_site_fract_y
_atom_site_fract_z
_atom_site_occupancy
Si1 Si 0.000 0.000 0.000 1
Tc1 Tc 0.500 0.500 0.000 1
Os1 Os 0.000 0.500 0.500 1
N1 N 0.500 0.500 0.500 1
```

# SiTeOsN2

SiTeOsN2 after structural relaxation (GGA-PBEsol, Alexandria via LeMat-Bulk).

Structure (CIF):
```
data_SiTeOsN2
_chemical_formula_sum 'Si1 Te1 Os1 N2'
_cell_length_a 3.825
_cell_length_b 3.825
_cell_length_c 5.641
_cell_angle_alpha 90.00
_cell_angle_beta 90.00
_cell_angle_gamma 90.00
_symmetry_space_group_name_H-M 'P 4/m m m'
_symmetry_Int_Tables_number 123
_symmetry_space_group_name_Hall '-P 4 2'
loop_
_atom_site_label
_atom_site_type_symbol
_atom_site_fract_x
_atom_site_fract_y
_atom_site_fract_z
_atom_site_occupancy
Si1 Si 0.000 0.000 0.000 1
Te1 Te 0.500 0.500 0.000 1
Os1 Os 0.500 0.500 0.500 1
N1 N 0.000 0.500 0.500 1
```

# SnOs2N

SnOs2N after structural relaxation (GGA-PBEsol, Alexandria via LeMat-Bulk).

Structure (CIF):
```
data_SnOs2N
_chemical_formula_sum 'Sn4 Os8 N4'
_cell_length_a 6.066
_cell_length_b 6.066
_cell_length_c 6.066
_cell_angle_alpha 90.00
_cell_angle_beta 90.00
_cell_angle_gamma 90.00
_symmetry_space_group_name_H-M 'F m -3 m'
_symmetry_Int_Tables_number 225
_symmetry_space_group_name_Hall '-F 4 2 3'
loop_
_atom_site_label
_atom_site_type_symbol
_atom_site_fract_x
_atom_site_fract_y
_atom_site_fract_z
_atom_site_occupancy
Sn1 Sn 0.000 0.000 0.000 1
Os1 Os 0.250 0.250 0.250 1
N1 N 0.000 0.000 0.500 1
```

# SnOsN

SnOsN after structural relaxation (GGA-PBEsol, Alexandria via LeMat-Bulk).

Structure (CIF):
```
data_SnOsN
_chemical_formula_sum 'Sn2 Os2 N2'
_cell_length_a 3.1751
_cell_length_b 3.1751
_cell_length_c 12.2639
_cell_angle_alpha 90.00
_cell_angle_beta 90.00
_cell_angle_gamma 120.00
_symmetry_space_group_name_H-M 'P 63 m c'
_symmetry_Int_Tables_number 186
_symmetry_space_group_name_Hall 'P 6c -2c'
loop_
_atom_site_label
_atom_site_type_symbol
_atom_site_fract_x
_atom_site_fract_y
_atom_site_fract_z
_atom_site_occupancy
Sn1 Sn 0.0000 0.0000 0.0000 1
Os1 Os 0.3333 0.6667 0.1926 1
N1 N 0.3333 0.6667 0.7360 1
```

# Sn3OsN

Sn3OsN after structural relaxation (GGA-PBEsol, Alexandria via LeMat-Bulk).

Structure (CIF):
```
data_Sn3OsN
_chemical_formula_sum 'Sn3 Os1 N1'
_cell_length_a 5.020
_cell_length_b 5.020
_cell_length_c 5.020
_cell_angle_alpha 90.00
_cell_angle_beta 90.00
_cell_angle_gamma 90.00
_symmetry_space_group_name_H-M 'P m -3 m'
_symmetry_Int_Tables_number 221
_symmetry_space_group_name_Hall '-P 4 2 3'
loop_
_atom_site_label
_atom_site_type_symbol
_atom_site_fract_x
_atom_site_fract_y
_atom_site_fract_z
_atom_site_occupancy
Sn1 Sn 0.000 0.000 0.500 1
Os1 Os 0.000 0.000 0.000 1
N1 N 0.500 0.500 0.500 1
```

# SnTeOsN2

SnTeOsN2 after structural relaxation (GGA-PBEsol, Alexandria via LeMat-Bulk).

Structure (CIF):
```
data_SnTeOsN2
_chemical_formula_sum 'Sn1 Te1 Os1 N2'
_cell_length_a 3.959
_cell_length_b 3.959
_cell_length_c 6.221
_cell_angle_alpha 90.00
_cell_angle_beta 90.00
_cell_angle_gamma 90.00
_symmetry_space_group_name_H-M 'P 4/m m m'
_symmetry_Int_Tables_number 123
_symmetry_space_group_name_Hall '-P 4 2'
loop_
_atom_site_label
_atom_site_type_symbol
_atom_site_fract_x
_atom_site_fract_y
_atom_site_fract_z
_atom_site_occupancy
Sn1 Sn 0.000 0.000 0.000 1
Te1 Te 0.000 0.000 0.500 1
Os1 Os 0.500 0.500 0.500 1
N1 N 0.000 0.500 0.000 1
```

Energy relative to the elements, uncorrected: -0.88, 0.39, 1.08, 0.77, 1.05, 0.50, 0.38, 0.81, 1.52, 0.41, 1.12, 2.03 (eV per atom)